Compound: Sr2CoPb
Source: the Alexandria database
Functional: PBE
Structure: relaxed

Unit cell a=11.0158 b=11.0158 c=4.9807 alpha=90.00 beta=90.00 gamma=90.00
Space group I-42d (No. 122)
One atom of each set of equivalent atoms:
Sr1 0.0782 0.2500 0.1250 [8 per cell]
Co1 0.0000 0.0000 0.0000 [4 per cell]
Pb1 0.0000 0.0000 0.5000 [4 per cell]

Compound: SrCo3Pb
Source: the Alexandria database
Functional: PBE
Structure: relaxed

Unit cell a=4.9425 b=4.9425 c=4.9425 alpha=90.00 beta=90.00 gamma=90.00
Space group Pm-3m (No. 221)
One atom of each set of equivalent atoms:
Sr1 0.0000 0.0000 0.0000 [1 per cell]
Co1 0.0000 0.5000 0.5000 [3 per cell]
Pb1 0.5000 0.5000 0.5000 [1 per cell]

Compound: SrCo4Pb
Source: the Alexandria database
Functional: PBE
Structure: relaxed

Unit cell a=7.2993 b=7.2993 c=7.2993 alpha=90.00 beta=90.00 gamma=90.00
Space group F-43m (No. 216)
One atom of each set of equivalent atoms:
Sr1 0.0000 0.0000 0.0000 [4 per cell]
Co1 0.1241 0.1241 0.6241 [16 per cell]
Pb1 0.2500 0.2500 0.2500 [4 per cell]

Compound: Sr2CoPb
Source: the Alexandria database
Functional: PBE
Structure: relaxed

Unit cell a=7.5383 b=7.5383 c=7.5383 alpha=90.00 beta=90.00 gamma=90.00
Space group F-43m (No. 216)
One atom of each set of equivalent atoms:
Sr1 0.0000 0.0000 0.0000 [4 per cell]
Sr2 0.2500 0.2500 0.2500 [4 per cell]
Co1 0.0000 0.0000 0.5000 [4 per cell]
Pb1 0.2500 0.2500 0.7500 [4 per cell]

Compound: SrCo3Pb
Source: the Alexandria database
Functional: PBE
Structure: relaxed

Unit cell a=4.8489 b=4.8489 c=4.8489 alpha=90.00 beta=90.00 gamma=90.00
Space group Pm-3m (No. 221)
One atom of each set of equivalent atoms:
Sr1 0.0000 0.0000 0.0000 [1 per cell]
Co1 0.0000 0.0000 0.5000 [3 per cell]
Pb1 0.5000 0.5000 0.5000 [1 per cell]

Compound: SrCoPb3
Source: the Alexandria database
Functional: PBE
Structure: relaxed

Unit cell a=5.2383 b=5.2383 c=5.2383 alpha=90.00 beta=90.00 gamma=90.00
Space group Pm-3m (No. 221)
One atom of each set of equivalent atoms:
Sr1 0.0000 0.0000 0.0000 [1 per cell]
Co1 0.5000 0.5000 0.5000 [1 per cell]
Pb1 0.0000 0.5000 0.5000 [3 per cell]

Compound: Sr2CoPb
Source: the Alexandria database
Functional: PBE
Structure: relaxed

Unit cell a=4.8512 b=4.8512 c=9.9192 alpha=90.00 beta=90.00 gamma=90.00
Space group I-4m2 (No. 119)
One atom of each set of equivalent atoms:
Sr1 0.0000 0.0000 0.0000 [2 per cell]
Sr2 0.0000 0.5000 0.2500 [2 per cell]
Co1 0.0000 0.5000 0.7500 [2 per cell]
Pb1 0.0000 0.0000 0.5000 [2 per cell]

Compound: Sr2CoPb
Source: the Alexandria database
Functional: PBE
Structure: relaxed

Unit cell a=3.6864 b=3.6864 c=9.1798 alpha=90.00 beta=90.00 gamma=90.00
Space group P4mm (No. 99)
One atom of each set of equivalent atoms:
Sr1 0.0000 0.0000 0.0000 [1 per cell]
Sr2 0.5000 0.5000 0.3883 [1 per cell]
Co1 0.0000 0.0000 0.6227 [1 per cell]
Pb1 0.5000 0.5000 0.7429 [1 per cell]

Total magnetization (computed, μB/f.u.): 0.0, 4.6, 5.5, 1.0, 3.5, 0.9, 1.4, 1.0
E_tot (computed, eV per atom): -3.47, -4.34, -5.31, -3.29, -3.44, -3.98, -3.29, -3.39